The following is a GGA-PBE calculation of a relaxed structure of Rb3Pr3InSe8, from the Alexandria database.

Computed properties:
- space group = C2/m, No. 12
- VASP energy (eV/atom) = -4.58

```
Rb3Pr3InSe8
1.0
8.6138 0.0000 0.0000
-4.3069 7.4589 -0.0307
0.0000 -4.9395 8.2479
In Pr Se Rb
1 3 8 3
Cartesian
0.0000 -2.4698 4.1239 In
4.3069 -2.4698 4.1239 Pr
-2.1534 1.2597 4.1086 Pr
2.1534 1.2597 4.1086 Pr
0.0000 -0.0966 5.7035 Se
6.5576 -1.2912 2.5198 Se
0.0000 2.4881 2.4355 Se
2.2508 3.8106 5.6973 Se
2.0561 -1.2912 2.5198 Se
-2.2508 3.8106 5.6973 Se
4.3069 0.0314 5.7816 Se
4.3069 2.6160 2.5136 Se
-2.1534 3.7295 -0.0154 Rb
2.1534 3.7295 -0.0154 Rb
0.0000 0.0000 0.0000 Rb
```

The following is a GGA-PBE calculation of a relaxed structure of Rb2PrInTe4, from the Alexandria database.

Computed properties:
- space group = Imma, No. 74
- VASP energy (eV/atom) = -3.68

```
Rb2PrInTe4
1.0
-1.5178 -0.9161 9.4428
3.5648 -8.9107 -0.4488
5.1198 7.4630 -3.4009
Te In Rb Pr
8 2 4 2
Cartesian
-0.1511 -2.8455 7.2640 Te
7.3180 0.4816 -1.6708 Te
2.5700 0.6325 5.2498 Te
2.9181 0.8621 0.5778 Te
4.5969 -2.9963 0.3433 Te
4.2487 -3.2260 5.0153 Te
0.7858 -2.2336 1.9842 Te
6.3810 -0.1302 3.6089 Te
3.5834 -1.1819 2.7965 In
3.6020 6.5468 6.0419 In
1.0235 -4.9134 4.4970 Rb
1.8010 3.2734 3.0209 Rb
-0.7589 -0.4581 4.7214 Rb
2.5599 3.7314 -1.7005 Rb
1.7825 -4.4553 -0.2244 Pr
2.8245 -1.6400 7.5180 Pr
```

The following is a GGA-PBE calculation of a relaxed structure of Pr4InRh, from the Alexandria database.

Computed properties:
- space group = F-43m, No. 216
- VASP energy (eV/atom) = -5.33
- formation enthalpy at 0 K (eV/atom) = -0.4608

```
Pr4InRh
1.0
8.6972 0.0000 5.0213
2.8991 8.1998 5.0213
0.0000 0.0000 10.0426
Pr Rh In
16 4 4
Cartesian
7.5815 7.7276 13.1316 Pr
4.6511 3.2888 8.0559 Pr
2.1864 1.5460 10.0426 Pr
6.4659 4.5721 15.0640 Pr
10.9285 7.7276 15.0640 Pr
3.9923 6.6537 13.1705 Pr
4.6511 3.2888 12.0294 Pr
3.9923 6.6537 6.9148 Pr
9.8129 4.5721 16.9964 Pr
7.5815 7.7276 16.9964 Pr
7.6040 1.5460 13.1704 Pr
7.6040 1.5460 6.9148 Pr
9.4098 6.6537 10.0426 Pr
5.7981 6.5332 10.0426 Pr
8.0923 3.2888 10.0426 Pr
9.8129 4.5721 13.1316 Pr
7.0527 4.9870 12.2157 Rh
5.7981 1.4385 10.0427 Rh
3.2889 4.9870 10.0427 Rh
7.0527 4.9870 7.8696 Rh
1.9636 1.3884 3.4010 In
1.9636 1.3884 6.6416 In
4.7700 1.3885 5.0213 In
2.8991 4.0344 5.0213 In
```

The following is a GGA-PBE calculation of a relaxed structure of Pr6InRh2, from the Alexandria database.

Computed properties:
- space group = Immm, No. 71
- VASP energy (eV/atom) = -5.59
- formation enthalpy at 0 K (eV/atom) = -0.4616

```
Pr6InRh2
1.0
-8.2303 1.8889 2.6722
3.9105 -6.3068 4.8352
5.2412 7.0843 0.8883
Pr Rh In
12 4 2
Cartesian
-0.6262 0.6838 6.3385 Pr
2.7220 2.3452 5.5601 Pr
6.4047 2.3953 5.0949 Pr
-0.7588 3.7724 4.1977 Pr
-3.8867 3.5067 2.2415 Pr
1.6802 -1.1060 4.1980 Pr
4.5152 4.1791 2.4436 Pr
4.8081 -0.8403 6.1542 Pr
-1.8007 0.3212 2.8356 Pr
1.5476 1.9826 2.0572 Pr
-3.5939 -1.5128 5.9520 Pr
-5.4834 0.2711 3.3008 Pr
-0.9946 2.9856 1.1847 Rh
-1.9945 5.9875 2.3758 Rh
-0.9428 -2.1055 4.5149 Rh
1.8642 4.7719 3.8808 Rh
0.0000 0.0000 0.0000 In
4.5758 0.3888 2.8617 In
```

The following is a GGA-PBE calculation of a relaxed structure of PrIn3Rh3, from the Alexandria database.

Computed properties:
- space group = Pm-3n, No. 223
- VASP energy (eV/atom) = -4.86
- formation enthalpy at 0 K (eV/atom) = 0.1510

```
PrIn3Rh3
1.0
7.1875 0.0000 0.0000
0.0000 7.1875 0.0000
0.0000 0.0000 7.1875
Rh In Pr
6 6 2
Cartesian
3.5938 0.0000 5.3906 Rh
1.7969 3.5938 0.0000 Rh
3.5938 0.0000 1.7969 Rh
0.0000 1.7969 3.5938 Rh
5.3906 3.5938 0.0000 Rh
0.0000 5.3906 3.5938 Rh
0.0000 3.5938 1.7969 In
3.5938 1.7969 0.0000 In
0.0000 3.5938 5.3906 In
3.5938 5.3906 0.0000 In
1.7969 0.0000 3.5938 In
5.3906 0.0000 3.5938 In
3.5938 3.5938 3.5938 Pr
0.0000 0.0000 0.0000 Pr
```

The following is a GGA-PBE calculation of a relaxed structure of Pr7In2Rh2, from the Alexandria database.

Computed properties:
- space group = Cmmm, No. 65
- VASP energy (eV/atom) = -5.24
- formation enthalpy at 0 K (eV/atom) = -0.3620

```
Pr7In2Rh2
1.0
-0.1128 5.7087 -4.2148
4.0604 -3.5741 -4.9495
-5.5845 -4.0555 -1.6529
Pr Rh In
7 2 2
Cartesian
-4.6129 -2.1060 -5.0133 Pr
-1.8503 -0.0520 -4.1507 Pr
-1.7643 -2.9325 -2.0795 Pr
0.2134 -1.8689 -6.6665 Pr
2.9760 0.1850 -5.8039 Pr
0.0000 0.0000 0.0000 Pr
0.1274 1.0116 -8.7377 Pr
0.0694 -4.7861 -7.3485 Rh
-1.7063 2.8651 -3.4687 Rh
-2.6931 -0.4165 -7.3393 In
1.0562 -1.5044 -3.4779 In
```

The following is a GGA-PBE calculation of a relaxed structure of PrIn2Rh3, from the Alexandria database.

Computed properties:
- space group = P-3m1, No. 164
- VASP energy (eV/atom) = -5.91
- formation enthalpy at 0 K (eV/atom) = -0.5208

```
PrIn2Rh3
1.0
-4.6431 0.6965 -0.2678
2.0530 -3.2373 -2.7240
-0.8529 -4.0718 4.1963
Rh In Pr
3 2 1
Cartesian
-0.4264 -2.0359 2.0981 Rh
-0.3579 -2.7802 -1.0250 Rh
-3.0850 -3.8324 2.2294 Rh
-2.6906 -1.9493 0.2887 In
-0.7524 -4.6633 0.9157 In
0.0000 0.0000 0.0000 Pr
```

The following is a GGA-PBE calculation of a relaxed structure of PrInRh4, from the Alexandria database.

Computed properties:
- space group = F-43m, No. 216
- VASP energy (eV/atom) = -6.58
- formation enthalpy at 0 K (eV/atom) = -0.4246

```
PrInRh4
1.0
-4.0255 2.2765 2.6888
-1.0983 -1.5597 4.9978
1.0364 3.2643 4.1094
Pr Rh In
1 4 1
Cartesian
-1.0218 0.9953 2.9490 Pr
-3.0801 0.8481 5.3137 Rh
-2.5582 2.4917 7.3829 Rh
-2.0052 3.2770 4.8664 Rh
-0.5313 1.3454 6.0290 Rh
0.0000 0.0000 0.0000 In
```

The following is a GGA-PBE calculation of a relaxed structure of Pr5In2Rh2, from the Alexandria database.

Computed properties:
- space group = Cmce, No. 64
- VASP energy (eV/atom) = -5.38
- formation enthalpy at 0 K (eV/atom) = -0.4781

```
Pr5In2Rh2
1.0
-0.3685 -7.0374 5.2364
-5.6090 -2.5884 -3.8733
7.9821 -2.6131 -2.9501
Rh Pr In
4 10 4
Cartesian
-3.5912 -2.4749 -1.8261 Rh
-5.0944 -6.6022 -0.1187 Rh
-0.8831 -3.0235 1.4818 Rh
-2.3864 -7.1508 3.1891 Rh
-2.7432 -8.4075 0.5601 Pr
0.1120 -6.1455 1.7766 Pr
2.7410 -9.1355 -0.0324 Pr
0.0000 0.0000 0.0000 Pr
-3.5916 -5.3653 -2.7712 Pr
-2.9888 -4.8129 0.6815 Pr
5.5962 -6.8735 1.1841 Pr
4.7478 -3.8313 -2.1471 Pr
-0.7364 -3.1033 -1.5547 Pr
1.8926 -6.0933 -3.3637 Pr
0.1511 -3.5246 -4.7262 In
-0.7668 -6.4897 -1.4157 In
2.7714 -5.7491 -0.1714 In
2.2220 -1.6768 -2.0972 In
```

The following is a GGA-PBE calculation of a relaxed structure of PrIn2Rh2, from the Alexandria database.

Computed properties:
- space group = Immm, No. 71
- VASP energy (eV/atom) = -5.48
- formation enthalpy at 0 K (eV/atom) = -0.4833

```
PrIn2Rh2
1.0
-2.1318 1.9396 -4.4210
-5.1001 1.1544 -0.7123
-2.2840 5.6251 -0.6372
In Rh Pr
2 2 1
Cartesian
-4.8413 5.8369 -4.2018 In
-4.6746 2.8823 -1.5686 In
-2.6931 4.9718 -2.6656 Rh
-6.8229 3.7474 -3.1048 Rh
-2.5501 0.5772 -0.3561 Pr
```

The following is a GGA-PBE calculation of a relaxed structure of Pr2InRh3, from the Alexandria database.

Computed properties:
- space group = Immm, No. 71
- VASP energy (eV/atom) = -6.10
- formation enthalpy at 0 K (eV/atom) = -0.3738

```
Pr2InRh3
1.0
-1.9516 3.8555 -1.8662
-3.2347 -3.1857 -3.1990
-0.9923 -0.3755 6.1984
Pr Rh In
2 3 1
Cartesian
-3.9123 -1.6188 0.7469 Pr
-2.2662 1.9132 0.3863 Pr
-3.5592 0.3240 -1.5448 Rh
-2.6193 -0.0296 2.6780 Rh
0.0000 0.0000 0.0000 Rh
-1.6173 -1.5928 -1.5995 In
```

The following is a GGA-PBE calculation of a relaxed structure of Pr4In3Rh, from the Alexandria database.

Computed properties:
- space group = P4/mmm, No. 123
- VASP energy (eV/atom) = -4.84
- formation enthalpy at 0 K (eV/atom) = -0.5083

```
Pr4In3Rh
1.0
3.6778 0.0000 0.0000
0.0000 3.6778 0.0000
0.0000 0.0000 16.5420
In Pr Rh
3 4 1
Cartesian
1.8389 1.8389 12.6007 In
1.8389 1.8389 8.2710 In
1.8389 1.8389 3.9412 In
0.0000 0.0000 1.6932 Pr
0.0000 0.0000 10.4586 Pr
0.0000 0.0000 14.8488 Pr
0.0000 0.0000 6.0833 Pr
1.8389 1.8389 0.0000 Rh
```

The following is a GGA-PBE calculation of a relaxed structure of Pr6In3Rh, from the Alexandria database.

Computed properties:
- space group = P2_1/c, No. 14
- VASP energy (eV/atom) = -4.80
- formation enthalpy at 0 K (eV/atom) = -0.3720

```
Pr6In3Rh
1.0
-4.1628 -1.5178 -3.1952
-5.3185 -1.4327 7.6097
-3.7418 11.3106 -0.4858
In Pr Rh
6 12 2
Cartesian
-1.8709 5.6553 -0.2429 In
-9.3155 6.3224 4.4618 In
-4.3681 1.6932 4.8789 In
-4.7407 -1.4753 2.2072 In
-8.8551 6.6669 -0.9502 In
-3.9077 2.0377 -0.5331 In
-5.6837 1.5070 2.0101 Pr
-5.2425 5.5152 -0.4592 Pr
-6.8660 -1.0498 4.7869 Pr
-9.8223 4.1149 1.5214 Pr
-2.9052 8.6131 -0.3095 Pr
-7.9806 2.8449 4.3879 Pr
-6.3572 9.4099 -0.8582 Pr
-1.9622 0.4378 2.3427 Pr
-7.5395 6.8531 1.9186 Pr
-11.2610 7.9223 1.5860 Pr
-10.3180 -0.2530 4.2381 Pr
-3.4008 4.2452 2.4073 Pr
0.0000 0.0000 0.0000 Rh
-6.6116 4.1801 1.9643 Rh
```

The following is a GGA-PBE calculation of a relaxed structure of Pr3In2Rh4, from the Alexandria database.

Computed properties:
- space group = C2/c, No. 15
- VASP energy (eV/atom) = -5.94
- formation enthalpy at 0 K (eV/atom) = -0.4729

```
Pr3In2Rh4
1.0
5.7329 -0.3387 -0.2425
-0.0158 8.6723 -0.0326
-0.0158 2.7635 8.2203
Pr Rh In
6 8 4
Cartesian
4.2839 4.9233 4.6670 Pr
2.3777 4.5667 8.0501 Pr
0.4572 2.1742 6.3371 Pr
5.2442 8.9229 1.6081 Pr
1.4175 6.1738 3.2782 Pr
3.3236 6.5304 -0.1049 Pr
0.5036 6.6044 0.6405 Rh
4.9892 2.4429 3.4556 Rh
3.3701 2.5650 5.9246 Rh
2.1228 4.2277 1.3204 Rh
3.5786 6.8694 6.6248 Rh
5.1977 4.4927 7.3048 Rh
2.3313 8.5321 2.0206 Rh
0.7121 8.6542 4.4897 Rh
3.6248 8.6488 4.5446 In
4.9430 3.8388 1.1008 In
2.0766 2.4483 3.4007 In
0.7584 7.2583 6.8445 In
```

The following is a GGA-PBE calculation of a relaxed structure of Pr8In2Rh, from the Alexandria database.

Computed properties:
- space group = C2/m, No. 12
- VASP energy (eV/atom) = -4.93
- formation enthalpy at 0 K (eV/atom) = -0.2899

```
Pr8In2Rh
1.0
5.3006 0.0000 0.0000
0.0000 7.0216 0.2585
-2.6503 -2.6647 9.2428
Pr In Rh
8 2 1
Cartesian
0.0000 5.3891 0.4983 Pr
0.0000 1.6913 7.7034 Pr
2.6503 2.6656 1.7979 Pr
2.6503 6.0300 2.9612 Pr
0.0000 -1.6731 6.5401 Pr
2.6503 3.3975 5.5575 Pr
2.6503 -1.0322 9.0030 Pr
0.0000 0.9594 3.9438 Pr
2.6503 0.1453 5.9018 In
0.0000 4.2116 3.5995 In
2.6503 0.0000 0.0000 Rh
```

The following is a GGA-PBE calculation of a relaxed structure of Pr6InRh2, from the Alexandria database.

Computed properties:
- space group = C2/m, No. 12
- VASP energy (eV/atom) = -5.51
- formation enthalpy at 0 K (eV/atom) = -0.3856

```
Pr6InRh2
1.0
-5.0034 -0.9726 0.7292
2.4612 -2.6190 -4.7846
2.1670 -8.5651 3.4449
Pr In Rh
6 1 2
Cartesian
-1.1890 -6.7469 1.0211 Pr
0.3275 -1.4951 0.2531 Pr
1.7800 -8.9590 0.2639 Pr
-0.7027 -10.6617 -0.8636 Pr
0.8138 -5.4098 -1.6316 Pr
-2.1552 -3.1977 -0.8745 Pr
1.0835 -4.2826 1.7225 In
0.1751 -3.1536 -3.0047 Rh
-0.5503 -9.0032 2.3942 Rh
```

The following is a GGA-PBE calculation of a relaxed structure of PrIn2Rh, from the Alexandria database.

Computed properties:
- space group = P2_1/m, No. 11
- VASP energy (eV/atom) = -5.01
- formation enthalpy at 0 K (eV/atom) = -0.6041

```
PrIn2Rh
1.0
-1.8893 -3.0823 2.6077
3.6291 -2.1473 -3.6893
5.9825 0.8789 5.3734
Rh Pr In
2 2 4
Cartesian
2.6517 -1.3679 0.3159 Rh
5.0706 -2.9828 3.9758 Rh
4.8411 0.1668 3.7162 Pr
2.8812 -4.5175 0.5755 Pr
7.5755 -1.7705 3.4150 In
2.5307 -2.2300 3.0179 In
0.1468 -2.5802 0.8767 In
5.1916 -2.1207 1.2738 In
```

The following is a GGA-PBE calculation of a relaxed structure of Pr4InRh2, from the Alexandria database.

Computed properties:
- space group = R-3m, No. 166
- VASP energy (eV/atom) = -5.67
- formation enthalpy at 0 K (eV/atom) = -0.4451

```
Pr4InRh2
1.0
4.8600 0.0000 0.0000
2.4300 4.2089 0.0000
2.4300 1.4030 9.9285
In Pr Rh
1 4 2
Cartesian
0.0000 0.0000 0.0000 In
7.2900 4.2089 6.0552 Pr
2.4300 1.4029 3.8733 Pr
4.8600 2.8059 8.3193 Pr
4.8600 2.8059 1.6092 Pr
7.2899 4.2089 2.9026 Rh
2.4300 1.4030 7.0259 Rh
```